DFT (PBE) results for a relaxed Sm8Er3 crystal.

It has space group R-3 (No. 148, hexagonal axes), with a = 9.7265 Å, b = 9.7265 Å, c = 13.7075 Å, α = 90.00°, β = 90.00° and γ = 120.00°. The inequivalent atoms are Sm at (0.0000, 0.0000, 0.1127), Sm at (0.0378, 0.8068, 0.6138) and Er at (0.0000, 0.5000, 0.5000).

For the magnetization, the calculation gives 0.00 μB per atom. For the polymorph energy (0 for the lowest one), the calculation gives 122.3 meV per atom. The calculation puts the formation enthalpy at 0 K at 0.49 eV/atom.